# Be4IrPb, optimized geometry, DFT PBE
# - Electronic total energy: -4.475 eV/atom
data_Be4IrPb
_chemical_formula_sum 'Be16 Ir4 Pb4'
_cell_length_a 6.571
_cell_length_b 6.571
_cell_length_c 6.571
_cell_angle_alpha 90.00
_cell_angle_beta 90.00
_cell_angle_gamma 90.00
_space_group_name_H-M_alt 'F -4 3 m'
_space_group_IT_number 216
_space_group_name_Hall 'F -4 2 3'
loop_
_atom_site_label
_atom_site_fract_x
_atom_site_fract_y
_atom_site_fract_z
_atom_site_occupancy
Be1 0.121 0.121 0.121 1
Ir1 0.250 0.250 0.750 1
Pb1 0.000 0.000 0.500 1

***

# BeIrPd2Pb, optimized geometry, DFT PBE
# - Electronic total energy: -3.748 eV/atom
data_BeIrPd2Pb
_chemical_formula_sum 'Be1 Ir1 Pd2 Pb1'
_cell_length_a 4.979
_cell_length_b 4.979
_cell_length_c 5.029
_cell_angle_alpha 90.00
_cell_angle_beta 90.00
_cell_angle_gamma 90.00
_space_group_name_H-M_alt 'P 4/m m m'
_space_group_IT_number 123
_space_group_name_Hall '-P 4 2'
loop_
_atom_site_label
_atom_site_fract_x
_atom_site_fract_y
_atom_site_fract_z
_atom_site_occupancy
Be1 0.000 0.000 0.000 1
Ir1 0.500 0.500 0.000 1
Pd1 0.000 0.500 0.500 1
Pb1 0.500 0.500 0.500 1

***

# ScBeIr2Pb, optimized geometry, DFT PBE
# - Electronic total energy: -5.164 eV/atom
data_ScBeIr2Pb
_chemical_formula_sum 'Sc1 Be1 Ir2 Pb1'
_cell_length_a 4.787
_cell_length_b 4.787
_cell_length_c 4.791
_cell_angle_alpha 90.00
_cell_angle_beta 90.00
_cell_angle_gamma 90.00
_space_group_name_H-M_alt 'P 4/m m m'
_space_group_IT_number 123
_space_group_name_Hall '-P 4 2'
loop_
_atom_site_label
_atom_site_fract_x
_atom_site_fract_y
_atom_site_fract_z
_atom_site_occupancy
Sc1 0.000 0.000 0.000 1
Be1 0.000 0.000 0.500 1
Ir1 0.000 0.500 0.000 1
Pb1 0.500 0.500 0.500 1

***

# Be2TlIrPb, optimized geometry, DFT PBE
# - Electronic total energy: -4.088 eV/atom
data_Be2TlIrPb
_chemical_formula_sum 'Be2 Tl1 Ir1 Pb1'
_cell_length_a 4.475
_cell_length_b 4.475
_cell_length_c 5.232
_cell_angle_alpha 90.00
_cell_angle_beta 90.00
_cell_angle_gamma 90.00
_space_group_name_H-M_alt 'P 4/m m m'
_space_group_IT_number 123
_space_group_name_Hall '-P 4 2'
loop_
_atom_site_label
_atom_site_fract_x
_atom_site_fract_y
_atom_site_fract_z
_atom_site_occupancy
Be1 0.000 0.500 0.000 1
Tl1 0.000 0.000 0.500 1
Ir1 0.000 0.000 0.000 1
Pb1 0.500 0.500 0.500 1

***

# BeIrPbW2, optimized geometry, DFT PBE
# - Electronic total energy: -6.345 eV/atom
data_BeIrPbW2
_chemical_formula_sum 'Be1 Ir1 Pb1 W2'
_cell_length_a 4.842
_cell_length_b 4.842
_cell_length_c 5.104
_cell_angle_alpha 90.00
_cell_angle_beta 90.00
_cell_angle_gamma 90.00
_space_group_name_H-M_alt 'P 4/m m m'
_space_group_IT_number 123
_space_group_name_Hall '-P 4 2'
loop_
_atom_site_label
_atom_site_fract_x
_atom_site_fract_y
_atom_site_fract_z
_atom_site_occupancy
Be1 0.000 0.000 0.000 1
Ir1 0.500 0.500 0.500 1
Pb1 0.500 0.500 0.000 1
W1 0.000 0.500 0.500 1

***

# Y2BeIrPb, optimized geometry, DFT PBE
# - Electronic total energy: -5.534 eV/atom
data_Y2BeIrPb
_chemical_formula_sum 'Y2 Be1 Ir1 Pb1'
_cell_length_a 5.559
_cell_length_b 5.559
_cell_length_c 5.272
_cell_angle_alpha 90.00
_cell_angle_beta 90.00
_cell_angle_gamma 90.00
_space_group_name_H-M_alt 'P 4/m m m'
_space_group_IT_number 123
_space_group_name_Hall '-P 4 2'
loop_
_atom_site_label
_atom_site_fract_x
_atom_site_fract_y
_atom_site_fract_z
_atom_site_occupancy
Y1 0.000 0.500 0.000 1
Be1 0.000 0.000 0.500 1
Ir1 0.500 0.500 0.000 1
Pb1 0.500 0.500 0.500 1

***

# Be4IrPd3, optimized geometry, DFT PBE
# - Electronic total energy: -5.542 eV/atom
data_Be4IrPd3
_chemical_formula_sum 'Be4 Ir1 Pd3'
_cell_length_a 2.830
_cell_length_b 2.830
_cell_length_c 11.270
_cell_angle_alpha 90.00
_cell_angle_beta 90.00
_cell_angle_gamma 90.00
_space_group_name_H-M_alt 'P 4/m m m'
_space_group_IT_number 123
_space_group_name_Hall '-P 4 2'
loop_
_atom_site_label
_atom_site_fract_x
_atom_site_fract_y
_atom_site_fract_z
_atom_site_occupancy
Be1 0.000 0.000 0.112 1
Be2 0.000 0.000 0.371 1
Ir1 0.500 0.500 0.000 1
Pd1 0.500 0.500 0.251 1
Pd2 0.500 0.500 0.500 1

***

# BeIr2Pd2, optimized geometry, DFT PBE
# - Relative energy among the computed polymorphs: 0.0 meV/atom
data_BeIr2Pd2
_chemical_formula_sum 'Be2 Ir4 Pd4'
_cell_length_a 5.890
_cell_length_b 5.890
_cell_length_c 4.243
_cell_angle_alpha 90.00
_cell_angle_beta 90.00
_cell_angle_gamma 90.00
_space_group_name_H-M_alt 'P 4/m b m'
_space_group_IT_number 127
_space_group_name_Hall '-P 4 2ab'
loop_
_atom_site_label
_atom_site_fract_x
_atom_site_fract_y
_atom_site_fract_z
_atom_site_occupancy
Be1 0.000 0.000 0.000 1
Ir1 0.148 0.352 0.000 1
Pd1 0.165 0.665 0.500 1